1.
# Pr6Fe2Ag | Alexandria via LeMat-Bulk | PBE | relaxed
data_Pr6Fe2Ag
_chemical_formula_sum 'Pr24 Fe8 Ag4'
_symmetry_space_group_name_H-M 'I m m m'
_symmetry_Int_Tables_number 71
_symmetry_space_group_name_Hall '-I 2 2'
_cell_length_a 9.833
_cell_length_b 10.120
_cell_length_c 10.256
_cell_angle_alpha 90.00
_cell_angle_beta 90.00
_cell_angle_gamma 90.00
loop_
_atom_site_label
_atom_site_fract_x
_atom_site_fract_y
_atom_site_fract_z
Pr1 0.000 0.212 0.216
Pr2 0.207 0.316 0.500
Pr3 0.208 0.500 0.185
Fe1 0.000 0.390 0.000
Fe2 0.000 0.500 0.392
Ag1 0.000 0.000 0.000
Ag2 0.000 0.000 0.500
# DOS at the Fermi energy (states/eV/cell): 39.16
# Energy (eV per atom): -5.371
# Crystal system: orthorhombic
# Total magnetic moment (μB per cell): 7.38

---

2.
# Pr2FeAg | Alexandria via LeMat-Bulk | PBE | relaxed
data_Pr2FeAg
_chemical_formula_sum 'Pr2 Fe1 Ag1'
_symmetry_space_group_name_H-M 'P 4/m m m'
_symmetry_Int_Tables_number 123
_symmetry_space_group_name_Hall '-P 4 2'
_cell_length_a 3.590
_cell_length_b 3.590
_cell_length_c 7.638
_cell_angle_alpha 90.00
_cell_angle_beta 90.00
_cell_angle_gamma 90.00
loop_
_atom_site_label
_atom_site_fract_x
_atom_site_fract_y
_atom_site_fract_z
Pr1 0.000 0.000 0.226
Fe1 0.500 0.500 0.000
Ag1 0.500 0.500 0.500
# DOS at the Fermi energy (states/eV/cell): 4.90
# Energy (eV per atom): -5.194
# Crystal system: tetragonal
# Total magnetic moment (μB per cell): 1.30

---

3.
# FeAg2Pt | Alexandria via LeMat-Bulk | PBE | relaxed
data_FeAg2Pt
_chemical_formula_sum 'Fe4 Ag8 Pt4'
_symmetry_space_group_name_H-M 'I -4 2 d'
_symmetry_Int_Tables_number 122
_symmetry_space_group_name_Hall 'I -4 2bw'
_cell_length_a 7.310
_cell_length_b 7.310
_cell_length_c 5.274
_cell_angle_alpha 90.00
_cell_angle_beta 90.00
_cell_angle_gamma 90.00
loop_
_atom_site_label
_atom_site_fract_x
_atom_site_fract_y
_atom_site_fract_z
Fe1 0.000 0.000 0.000
Ag1 0.237 0.250 0.125
Pt1 0.000 0.000 0.500
# DOS at the Fermi energy (states/eV/cell): 16.57
# Energy (eV per atom): -4.521
# Crystal system: tetragonal
# Total magnetic moment (μB per cell): 14.20

---

4.
# FeAg2Pt | Alexandria via LeMat-Bulk | PBE | relaxed
data_FeAg2Pt
_chemical_formula_sum 'Fe2 Ag4 Pt2'
_symmetry_space_group_name_H-M 'I -4 m 2'
_symmetry_Int_Tables_number 119
_symmetry_space_group_name_Hall 'I -4 -2'
_cell_length_a 4.077
_cell_length_b 4.077
_cell_length_c 7.667
_cell_angle_alpha 90.00
_cell_angle_beta 90.00
_cell_angle_gamma 90.00
loop_
_atom_site_label
_atom_site_fract_x
_atom_site_fract_y
_atom_site_fract_z
Fe1 0.000 0.000 0.000
Ag1 0.000 0.000 0.500
Ag2 0.000 0.500 0.250
Pt1 0.000 0.500 0.750
# DOS at the Fermi energy (states/eV/cell): 6.99
# Energy (eV per atom): -4.906
# Crystal system: tetragonal
# Total magnetic moment (μB per cell): 6.92

---

5.
# FeAg2Pt5 | Alexandria via LeMat-Bulk | PBE | relaxed
data_FeAg2Pt5
_chemical_formula_sum 'Fe2 Ag4 Pt10'
_symmetry_space_group_name_H-M 'I 4/m m m'
_symmetry_Int_Tables_number 139
_symmetry_space_group_name_Hall '-I 4 2'
_cell_length_a 3.991
_cell_length_b 3.991
_cell_length_c 15.887
_cell_angle_alpha 90.00
_cell_angle_beta 90.00
_cell_angle_gamma 90.00
loop_
_atom_site_label
_atom_site_fract_x
_atom_site_fract_y
_atom_site_fract_z
Fe1 0.000 0.000 0.000
Ag1 0.000 0.000 0.250
Pt1 0.000 0.000 0.500
Pt2 0.000 0.500 0.117
# DOS at the Fermi energy (states/eV/cell): 12.97
# Energy (eV per atom): -5.636
# Crystal system: tetragonal
# Total magnetic moment (μB per cell): 9.68

---

6.
# FeAg2Pt | Alexandria via LeMat-Bulk | PBE | relaxed
data_FeAg2Pt
_chemical_formula_sum 'Fe2 Ag4 Pt2'
_symmetry_space_group_name_H-M 'C 1 2/m 1'
_symmetry_Int_Tables_number 12
_cell_length_a 9.617
_cell_length_b 2.816
_cell_length_c 4.768
_cell_angle_alpha 90.00
_cell_angle_beta 100.34
_cell_angle_gamma 90.00
loop_
_symmetry_equiv_pos_as_xyz
'x,y,z'
'-x,-y,-z'
'-x,y,-z'
'x,-y,z'
'x+1/2,y+1/2,z'
'-x+1/2,-y+1/2,-z'
'-x+1/2,y+1/2,-z'
'x+1/2,-y+1/2,z'
loop_
_atom_site_label
_atom_site_fract_x
_atom_site_fract_y
_atom_site_fract_z
Fe1 0.000 0.000 0.000
Ag1 0.248 0.500 0.246
Pt1 0.000 0.500 0.500
# DOS at the Fermi energy (states/eV/cell): 4.37
# Energy (eV per atom): -4.938
# Crystal system: monoclinic
# Total magnetic moment (μB per cell): 6.51

---

Question: Which value of total magnetic moment does entry 2 give?
Answer: 1.30 μB per cell

---

Question: What is the formula in the sixth record?
Answer: FeAg2Pt

---

Question: Which formula does entry 2 have?
Answer: Pr2FeAg

---

Copy entry 4 word for word.
# FeAg2Pt | Alexandria via LeMat-Bulk | PBE | relaxed
data_FeAg2Pt
_chemical_formula_sum 'Fe2 Ag4 Pt2'
_symmetry_space_group_name_H-M 'I -4 m 2'
_symmetry_Int_Tables_number 119
_symmetry_space_group_name_Hall 'I -4 -2'
_cell_length_a 4.077
_cell_length_b 4.077
_cell_length_c 7.667
_cell_angle_alpha 90.00
_cell_angle_beta 90.00
_cell_angle_gamma 90.00
loop_
_atom_site_label
_atom_site_fract_x
_atom_site_fract_y
_atom_site_fract_z
Fe1 0.000 0.000 0.000
Ag1 0.000 0.000 0.500
Ag2 0.000 0.500 0.250
Pt1 0.000 0.500 0.750
# DOS at the Fermi energy (states/eV/cell): 6.99
# Energy (eV per atom): -4.906
# Crystal system: tetragonal
# Total magnetic moment (μB per cell): 6.92